[1]
Compound: YMg6Cu6
Source: Alexandria
Functional: PBE
Structure: relaxed

abc: 5.5874 5.5874 8.6640
angles: 90.00 90.00 120.00
Element x y z (fractional)
Y: 0.0000 0.0000 0.0000
Mg: 0.0000 0.5000 0.2537
Mg: 0.5000 0.5000 0.2537
Mg: 0.5000 0.0000 0.2537
Mg: 0.5000 0.5000 0.7463
Mg: 0.0000 0.5000 0.7463
Mg: 0.5000 0.0000 0.7463
Cu: 0.0000 0.0000 0.3512
Cu: 0.0000 0.0000 0.6488
Cu: 0.6667 0.3333 0.0000
Cu: 0.3333 0.6667 0.0000
Cu: 0.6667 0.3333 0.5000
Cu: 0.3333 0.6667 0.5000

- Spin magnetization: 0.00 μB per atom
- DFT formation energy: 0.0676 eV/atom
- DFT total energy: -3.056 eV/atom
- E above lowest polymorph: 190 meV per atom

=====

[2]
Compound: ScHN2
Source: Alexandria
Functional: PBE
Structure: relaxed

abc: 4.1186 4.1186 4.1186
angles: 48.12 48.12 48.12
Last column: magnetic moment on the atom in μB.
Element x y z (fractional)
Sc: 0.0000 0.0000 0.0000  0.04
H: 0.5000 0.5000 0.5000  -0.01
N: 0.7589 0.7589 0.7589  0.33
N: 0.2411 0.2411 0.2411  0.33

- Spin magnetization: 0.22 μB per atom
- DFT total energy: -6.001 eV/atom
- E above lowest polymorph: 665 meV per atom

=====

[3]
Compound: Sb3S4Br
Source: Alexandria
Functional: PBE
Structure: relaxed

abc: 6.7653 9.5005 10.7539
angles: 122.74 90.00 110.86
Element x y z (fractional)
Sb: 0.6851 0.3529 0.8859
Sb: 0.6679 0.3529 0.3859
Sb: 0.2509 0.5788 0.5745
Sb: 0.3280 0.5788 0.0745
Sb: 0.8945 0.7680 0.7995
Sb: 0.8736 0.7680 0.2995
S: 0.3079 0.2571 0.9069
S: 0.9492 0.2571 0.4069
S: 0.5635 0.4577 0.6448
S: 0.8941 0.4577 0.1448
S: 0.1591 0.6498 0.8198
S: 0.4907 0.6498 0.3198
S: 0.9852 0.7163 0.5527
S: 0.7311 0.7163 0.0527
Br: 0.6455 0.9991 0.7657
Br: 0.3536 0.9991 0.2657

- Spin magnetization: 0.00 μB per atom
- Raw formation energy: -0.29 eV per atom
- DFT total energy: -4.107 eV/atom

=====

[4]
Compound: NdSi2Pd6
Source: Alexandria
Functional: PBE
Structure: relaxed

abc: 5.6122 5.6122 6.3234
angles: 90.00 90.00 120.00
Element x y z (fractional)
Nd: 0.0000 0.0000 0.0000
Si: 0.3333 0.6667 0.5000
Si: 0.6667 0.3333 0.5000
Pd: 0.4999 0.0000 0.2205
Pd: 0.5001 0.5001 0.2205
Pd: 0.0000 0.4999 0.2205
Pd: 0.4999 0.4999 0.7795
Pd: 0.0000 0.5001 0.7795
Pd: 0.5001 0.0000 0.7795

- Spin magnetization: 0.00 μB per atom
- Raw formation energy: -0.60 eV per atom
- DFT total energy: -5.796 eV/atom

=====

Number 1: N(E_F) 5.77 states/eV/cell, mass density 4.37 g/cm³. Number 2: N(E_F) 2.15 states/eV/cell, mass density 3.46 g/cm³. Number 3: N(E_F) 0.00 states/eV/cell, mass density 3.62 g/cm³. Number 4: N(E_F) 3.80 states/eV/cell, mass density 8.08 g/cm³.